Material: Mn2SiIr
Method: DFT, PBE
State: optimized geometry

Unit cell a=4.4273 b=4.4273 c=4.4273 alpha=128.94 beta=128.94 gamma=75.11
Atoms (fractional coordinates):
Mn1 0.0000 0.0000 0.0000
Mn2 0.7500 0.2500 0.5000
Si1 0.2500 0.7500 0.5000
Ir1 0.5000 0.5000 0.0000

Values from the calculation:
Raw formation energy ... -0.38 eV/atom
V ... 12.78 Å³/atom
VASP energy ... -8.534 eV/atom
D(E_F) ... 2.11 states/eV/f.u.


Material: MnSi2Ir
Method: DFT, PBE
State: optimized geometry

Unit cell a=2.7981 b=3.5735 c=5.1435 alpha=90.00 beta=90.00 gamma=90.00
Atoms (fractional coordinates):
Mn1 0.0000 0.0000 0.0000
Si1 0.0000 0.0000 0.4663
Si2 0.5000 0.5000 0.1661
Ir1 0.5000 0.5000 0.6565

Values from the calculation:
Raw formation energy ... -0.39 eV/atom
V ... 12.86 Å³/atom
VASP energy ... -7.610 eV/atom
D(E_F) ... 2.66 states/eV/f.u.


Material: MnSi2Ir
Method: DFT, PBE
State: optimized geometry

Unit cell a=4.8034 b=4.8034 c=4.8034 alpha=136.56 beta=136.56 gamma=63.12
Atoms (fractional coordinates):
Mn1 0.0000 0.0000 0.0000
Si1 0.2500 0.7500 0.5000
Si2 0.5000 0.5000 0.0000
Ir1 0.7500 0.2500 0.5000

Values from the calculation:
Raw formation energy ... -0.26 eV/atom
V ... 12.93 Å³/atom
VASP energy ... -7.481 eV/atom
D(E_F) ... 2.51 states/eV/f.u.


Material: MnSiIr
Method: DFT, PBE
State: optimized geometry

Unit cell a=4.0338 b=4.0338 c=4.0338 alpha=60.00 beta=60.00 gamma=60.00
Atoms (fractional coordinates):
Mn1 0.0000 0.0000 0.0000
Si1 0.5000 0.5000 0.5000
Ir1 0.7500 0.7500 0.7500

Values from the calculation:
Raw formation energy ... -0.27 eV/atom
V ... 15.47 Å³/atom
VASP energy ... -8.091 eV/atom
D(E_F) ... 3.52 states/eV/f.u.